1.
VASP calculation (PBE) on a geometry-optimized K2BeOs2 structure.

Geometry as POSCAR:
```
K2BeOs2
1.0
10.268 0.000 0.000
0.000 10.268 0.000
0.000 0.000 2.589
K Be Os
4 2 4
Cartesian
2.055 3.079 0.000
3.079 8.213 0.000
7.189 2.055 0.000
8.213 7.189 0.000
0.000 0.000 0.000
5.134 5.134 0.000
0.807 5.940 1.294
4.327 0.807 1.294
5.940 9.461 1.294
9.461 4.327 1.294
```

M_tot in μB/cell: 0.00
E_tot in eV/atom: -4.184
Space-group type: No. 127
DFT formation energy in eV per atom: 1.49
Volume in Å³ per atom: 27.294
Energy relative to the lowest polymorph listed for this composition in meV/atom: 320.5


2.
VASP calculation (PBE) on a geometry-optimized KBeOsRu2 structure.

Geometry as POSCAR:
```
KBeOsRu2
1.0
4.772 0.000 0.000
0.000 4.772 0.000
0.000 0.000 4.554
K Be Os Ru
1 1 1 2
Cartesian
0.000 0.000 0.000
2.386 2.386 0.000
2.386 2.386 2.277
0.000 2.386 2.277
2.386 0.000 2.277
```

M_tot in μB/cell: 0.08
E_tot in eV/atom: -5.671
Space-group type: No. 123
DFT formation energy in eV per atom: 1.25
Volume in Å³ per atom: 20.741


3.
VASP calculation (PBE) on a geometry-optimized KBe2P2 structure.

Geometry as POSCAR:
```
KBe2P2
1.0
3.482 0.000 0.000
0.000 3.482 0.000
0.000 0.000 14.548
K Be P
2 4 4
Cartesian
0.000 0.000 0.000
1.741 1.741 7.274
0.000 1.741 3.637
0.000 1.741 10.911
1.741 0.000 3.637
1.741 0.000 10.911
0.000 0.000 5.000
0.000 0.000 9.548
1.741 1.741 2.274
1.741 1.741 12.275
```

M_tot in μB/cell: 0.00
E_tot in eV/atom: -4.248
Space-group type: No. 139
DFT formation energy in eV per atom: -0.37
Volume in Å³ per atom: 17.642


4.
VASP calculation (PBE) on a geometry-optimized KBeP3 structure.

Geometry as POSCAR:
```
KBeP3
1.0
4.525 0.000 0.000
0.000 4.525 0.000
0.000 0.000 4.525
K Be P
1 1 3
Cartesian
0.000 0.000 0.000
2.262 2.262 2.262
0.000 2.262 2.262
2.262 0.000 2.262
2.262 2.262 0.000
```

M_tot in μB/cell: 0.00
E_tot in eV/atom: -3.755
Space-group type: No. 221
DFT formation energy in eV per atom: 0.46
Volume in Å³ per atom: 18.530
Energy relative to the lowest polymorph listed for this composition in meV/atom: 0.0


5.
VASP calculation (PBE) on a geometry-optimized K5BeP2 structure.

Geometry as POSCAR:
```
K5BeP2
1.0
2.737 1.580 13.038
-2.737 1.580 13.038
0.000 -3.160 13.038
K Be P
5 1 2
Cartesian
0.000 0.000 0.000
0.000 0.000 5.469
0.000 0.000 9.637
0.000 0.000 29.479
0.000 0.000 33.647
0.000 0.000 19.558
0.000 0.000 17.554
0.000 0.000 21.562
```

M_tot in μB/cell: 0.00
E_tot in eV/atom: -2.745
Space-group type: No. 166
DFT formation energy in eV per atom: -0.24
Volume in Å³ per atom: 42.279


6.
VASP calculation (PBE) on a geometry-optimized K4BeP2 structure.

Geometry as POSCAR:
```
K4BeP2
1.0
2.799 1.616 8.431
-2.799 1.616 8.431
0.000 -3.232 8.431
K Be P
4 1 2
Cartesian
0.000 0.000 3.111
0.000 0.000 7.369
0.000 0.000 17.924
0.000 0.000 22.182
0.000 0.000 12.647
0.000 0.000 10.651
0.000 0.000 14.642
```

M_tot in μB/cell: 0.00
E_tot in eV/atom: -3.087
Space-group type: No. 166
DFT formation energy in eV per atom: -0.38
Volume in Å³ per atom: 32.681


7.
VASP calculation (PBE) on a geometry-optimized K3BeP structure.

Geometry as POSCAR:
```
K3BeP
1.0
6.279 0.000 0.000
0.000 6.279 0.000
0.000 0.000 6.279
K Be P
3 1 1
Cartesian
0.000 0.000 3.139
0.000 3.139 0.000
3.139 0.000 0.000
3.139 3.139 3.139
0.000 0.000 0.000
```

M_tot in μB/cell: 0.00
E_tot in eV/atom: -1.965
Space-group type: No. 221
DFT formation energy in eV per atom: 0.52
Volume in Å³ per atom: 49.500
Energy relative to the lowest polymorph listed for this composition in meV/atom: 0.0


8.
VASP calculation (PBE) on a geometry-optimized KBeP4 structure.

Geometry as POSCAR:
```
KBeP4
1.0
0.000 4.076 4.076
4.076 0.000 4.076
4.076 4.076 0.000
K Be P
1 1 4
Cartesian
0.000 0.000 0.000
2.038 2.038 2.038
4.876 3.277 3.277
3.277 4.876 3.277
3.277 3.277 4.876
4.876 4.876 4.876
```

M_tot in μB/cell: 0.00
E_tot in eV/atom: -3.929
Space-group type: No. 216
DFT formation energy in eV per atom: 0.48
Volume in Å³ per atom: 22.581